# 1
# AlTe2W

An optimized crystal structure of AlTe2W (PBEsol, Alexandria).

Summary:
D(E_F) = 0.475 states/eV per atom
Magnetic moment = 0.00 μB per formula unit
Electronic total energy = -5.933 eV per atom

abc: 9.453 9.453 9.453
angles: 20.43 20.43 20.43
Element x y z (fractional)
Al: 0.000 0.000 0.000
Te: 0.236 0.236 0.236
Te: 0.764 0.764 0.764
W: 0.500 0.500 0.500

# 2
# Cs3Sb5O14

An optimized crystal structure of Cs3Sb5O14 (PBEsol, Alexandria).

Summary:
Magnetic moment = 0.00 μB per formula unit
Electronic total energy = -6.070 eV per atom

abc: 7.293 25.060 7.460
angles: 90.00 90.00 90.00
Element x y z (fractional)
Cs: 0.108 0.210 0.000
Cs: 0.110 0.115 0.500
Cs: 0.234 0.486 0.500
Cs: 0.266 0.986 0.500
Cs: 0.390 0.615 0.500
Cs: 0.392 0.710 0.000
Cs: 0.608 0.290 0.000
Cs: 0.610 0.385 0.500
Cs: 0.734 0.014 0.500
Cs: 0.766 0.514 0.500
Cs: 0.890 0.885 0.500
Cs: 0.892 0.790 0.000
Sb: 0.084 0.944 0.000
Sb: 0.090 0.562 0.000
Sb: 0.116 0.354 0.262
Sb: 0.116 0.354 0.738
Sb: 0.157 0.746 0.500
Sb: 0.343 0.246 0.500
Sb: 0.384 0.854 0.262
Sb: 0.384 0.854 0.738
Sb: 0.410 0.062 0.000
Sb: 0.416 0.444 0.000
Sb: 0.584 0.556 0.000
Sb: 0.590 0.938 0.000
Sb: 0.616 0.146 0.262
Sb: 0.616 0.146 0.738
Sb: 0.657 0.754 0.500
Sb: 0.843 0.254 0.500
Sb: 0.884 0.646 0.262
Sb: 0.884 0.646 0.738
Sb: 0.910 0.438 0.000
Sb: 0.916 0.056 0.000
O: 0.000 0.000 0.176
O: 0.000 0.000 0.824
O: 0.034 0.355 0.000
O: 0.044 0.577 0.251
O: 0.044 0.577 0.749
O: 0.087 0.222 0.500
O: 0.104 0.690 0.312
O: 0.104 0.690 0.688
O: 0.159 0.483 0.000
O: 0.161 0.091 0.000
O: 0.165 0.898 0.195
O: 0.165 0.898 0.805
O: 0.172 0.379 0.500
O: 0.215 0.793 0.283
O: 0.215 0.793 0.717
O: 0.285 0.293 0.283
O: 0.285 0.293 0.717
O: 0.328 0.879 0.500
O: 0.335 0.398 0.195
O: 0.335 0.398 0.805
O: 0.339 0.591 0.000
O: 0.341 0.983 0.000
O: 0.396 0.190 0.312
O: 0.396 0.190 0.688
O: 0.413 0.722 0.500
O: 0.456 0.077 0.251
O: 0.456 0.077 0.749
O: 0.466 0.855 0.000
O: 0.500 0.500 0.176
O: 0.500 0.500 0.824
O: 0.534 0.145 0.000
O: 0.544 0.923 0.251
O: 0.544 0.923 0.749
O: 0.587 0.278 0.500
O: 0.604 0.810 0.312
O: 0.604 0.810 0.688
O: 0.659 0.017 0.000
O: 0.661 0.409 0.000
O: 0.665 0.602 0.195
O: 0.665 0.602 0.805
O: 0.672 0.121 0.500
O: 0.715 0.707 0.283
O: 0.715 0.707 0.717
O: 0.785 0.207 0.283
O: 0.785 0.207 0.717
O: 0.828 0.621 0.500
O: 0.835 0.102 0.195
O: 0.835 0.102 0.805
O: 0.839 0.909 0.000
O: 0.841 0.517 0.000
O: 0.896 0.310 0.312
O: 0.896 0.310 0.688
O: 0.913 0.778 0.500
O: 0.956 0.423 0.251
O: 0.956 0.423 0.749
O: 0.966 0.645 0.000